1.
Here is an optimized crystal structure of K3ZnB2O6 from Alexandria. Energies are from PBE-GGA.

abc: 5.4529 5.4529 6.7558
angles: 90.00 90.00 120.00
Space group P-3m1 (No. 164)
Inequivalent atoms, fractional coordinates:
K1 0.0000 0.0000 0.0000 (multiplicity 1)
K2 0.3333 0.6667 0.7297 (multiplicity 2)
Zn1 0.0000 0.0000 0.5000 (multiplicity 1)
B1 0.3333 0.6667 0.3071 (multiplicity 2)
O1 0.1865 0.3731 0.3051 (multiplicity 6)

Results
DFT total energy ... -5.827 eV/atom
Formation energy without anion corrections ... -1855 meV/atom

2.
Here is an optimized crystal structure of K3ZnB5O10 from Alexandria. Energies are from PBE-GGA.

abc: 7.7874 19.4814 8.1870
angles: 90.00 121.32 90.00
Space group P2_1/c (No. 14)
Inequivalent atoms, fractional coordinates:
K1 0.1685 0.0780 0.0187 (multiplicity 4)
K2 0.1857 0.0632 0.4758 (multiplicity 4)
K3 0.2588 0.7473 0.2226 (multiplicity 4)
Zn1 0.3192 0.6086 0.0015 (multiplicity 4)
B1 0.0839 0.1986 0.6972 (multiplicity 4)
B2 0.3197 0.5794 0.6566 (multiplicity 4)
B3 0.3200 0.5802 0.3525 (multiplicity 4)
B4 0.3476 0.2113 0.3310 (multiplicity 4)
B5 0.4486 0.1619 0.8783 (multiplicity 4)
O1 0.1124 0.6828 0.8940 (multiplicity 4)
O2 0.1409 0.2310 0.2248 (multiplicity 4)
O3 0.2303 0.1480 0.7659 (multiplicity 4)
O4 0.2437 0.5544 0.4665 (multiplicity 4)
O5 0.2449 0.5572 0.1717 (multiplicity 4)
O6 0.2507 0.5524 0.7646 (multiplicity 4)
O7 0.3982 0.1443 0.3577 (multiplicity 4)
O8 0.4581 0.6319 0.7228 (multiplicity 4)
O9 0.4666 0.6303 0.4308 (multiplicity 4)
O10 0.4882 0.2362 0.9014 (multiplicity 4)

Results
DFT total energy ... -6.892 eV/atom
Formation energy without anion corrections ... -2285 meV/atom

3.
Here is an optimized crystal structure of KZn2B2O6 from Alexandria. Energies are from PBE-GGA.

abc: 4.9811 5.2002 7.2070
angles: 85.65 74.17 62.05
Space group P-1 (No. 2)
Inequivalent atoms, fractional coordinates:
K1 0.0000 0.0000 0.0000 (multiplicity 1)
Zn1 0.4220 0.3197 0.6499 (multiplicity 2)
B1 0.2635 0.3080 0.2814 (multiplicity 2)
O1 0.0253 0.5423 0.2258 (multiplicity 2)
O2 0.3149 0.0317 0.2510 (multiplicity 2)
O3 0.4650 0.3547 0.3613 (multiplicity 2)

Results
DFT total energy ... -6.078 eV/atom
Formation energy without anion corrections ... -1828 meV/atom

4.
Here is an optimized crystal structure of KZn4B3O9 from Alexandria. Energies are from PBE-GGA.

abc: 7.0463 5.0537 12.7836
angles: 90.00 94.05 90.00
Space group P2/c (No. 13)
Inequivalent atoms, fractional coordinates:
K1 0.0000 0.1896 0.2500 (multiplicity 2)
Zn1 0.2092 0.3383 0.5584 (multiplicity 4)
Zn2 0.4887 0.1482 0.1233 (multiplicity 4)
B1 0.1855 0.1468 0.9513 (multiplicity 4)
B2 0.5000 0.3479 0.7500 (multiplicity 2)
O1 0.0324 0.2372 0.8918 (multiplicity 4)
O2 0.2602 0.1085 0.4333 (multiplicity 4)
O3 0.2751 0.2931 0.0334 (multiplicity 4)
O4 0.4094 0.2109 0.6672 (multiplicity 4)
O5 0.5000 0.3766 0.2500 (multiplicity 2)

Results
DFT total energy ... -6.120 eV/atom
Formation energy without anion corrections ... -1953 meV/atom

5.
Here is an optimized crystal structure of KBOs2Pd from Alexandria. Energies are from PBE-GGA.

abc: 4.1823 4.1823 4.6041
angles: 90.00 90.00 90.00
Space group P4/mmm (No. 123)
Inequivalent atoms, fractional coordinates:
K1 0.0000 0.0000 0.0000 (multiplicity 1)
B1 0.5000 0.5000 0.5000 (multiplicity 1)
Os1 0.0000 0.5000 0.5000 (multiplicity 2)
Pd1 0.5000 0.5000 0.0000 (multiplicity 1)

Results
DFT total energy ... -6.201 eV/atom
DFT formation energy ... 0.8842 eV per atom

6.
Here is an optimized crystal structure of KRb2BOs from Alexandria. Energies are from PBE-GGA.

abc: 6.6830 6.6830 5.4738
angles: 90.00 90.00 90.00
Space group P4/mmm (No. 123)
Inequivalent atoms, fractional coordinates:
K1 0.0000 0.0000 0.0000 (multiplicity 1)
Rb1 0.0000 0.5000 0.0000 (multiplicity 2)
B1 0.5000 0.5000 0.5000 (multiplicity 1)
Os1 0.0000 0.0000 0.5000 (multiplicity 1)

Results
DFT total energy ... -1.838 eV/atom
DFT formation energy ... 2.3500 eV per atom